(1)
3
Lattice="3.0871 0.0000 0.0000 -1.5436 2.6735 0.0000 0.0000 0.0000 4.7232" Properties=species:S:1:pos:R:3 comment="GGA-PBE TcGeN, relaxed" e_form_raw_ev_per_atom=-0.04 pbc="T T T"
Tc 0.0000 0.0000 0.0000
Ge 1.5436 0.8912 2.9820
N 1.5436 0.8912 1.1171



(2)
16
Lattice="4.8483 0.0000 0.0000 0.0000 5.8244 0.0000 0.0000 0.0000 13.5280" Properties=species:S:1:pos:R:3 comment="GGA-PBE CeCd6Au, relaxed" n_ef_per_ev_atom=1.2264 ef_ev_per_fu=-1.19 pbc="T T T"
Ce 0.0000 0.0000 0.0000
Ce 0.0000 2.9122 6.7640
Cd 0.0000 1.4074 9.8530
Cd 0.0000 1.5048 3.0890
Cd 0.0000 4.3196 3.0890
Cd 0.0000 4.4170 9.8530
Cd 2.4241 0.0000 2.1270
Cd 2.4241 0.0000 7.7787
Cd 2.4241 1.4182 11.7569
Cd 2.4241 1.4940 4.9929
Cd 2.4241 2.9122 1.0147
Cd 2.4241 2.9122 8.8910
Cd 2.4241 4.3304 4.9929
Cd 2.4241 4.4062 11.7569
Au 0.0000 0.0000 5.7101
Au 0.0000 2.9122 12.4741



(3)
4
Lattice="3.2831 0.0000 0.0000 0.0000 3.2831 0.0000 0.0000 0.0000 7.8117" Properties=species:S:1:pos:R:3 comment="GGA-PBE PuSn2Ru, relaxed" n_ef_per_ev_atom=1.3657 ef_ev_per_fu=-0.96 pbc="T T T"
Pu 0.0000 0.0000 0.0000
Sn 1.6415 1.6415 2.3007
Sn 1.6415 1.6415 5.5110
Ru 0.0000 0.0000 3.9058



(4)
9
Lattice="4.9286 -9.3413 0.0000 4.9286 9.3413 0.0000 -0.6325 0.0000 3.8542" Properties=species:S:1:pos:R:3 comment="GGA-PBE Ca6Pr2Nd, relaxed" n_ef_per_ev_atom=1.5358 ef_ev_per_fu=0.79 pbc="T T T"
Ca 2.8567 6.1855 2.5924
Ca 1.1821 0.0000 3.2128
Ca 6.3681 6.1855 1.2618
Ca 2.8567 -6.1855 2.5924
Ca 8.0426 0.0000 0.6414
Ca 6.3681 -6.1855 1.2618
Pr 4.9286 2.9175 0.0000
Pr 4.9286 -2.9175 0.0000
Nd 4.6124 0.0000 1.9271



(5)
12
Lattice="9.9678 -2.2753 0.0000 9.9678 2.2753 0.0000 -2.1548 0.0000 8.9210" Properties=species:S:1:pos:R:3 comment="GGA-PBE Ac6SiAs2Br3, relaxed" n_ef_per_ev_atom=0.5099 e_form_raw_ev_per_atom=-1.30 pbc="T T T"
Ac -0.3669 0.0000 2.0421
Ac 5.5787 0.0000 3.8807
Ac 4.8803 0.0000 8.0423
Ac 12.9005 0.0000 0.8787
Ac 12.2020 0.0000 5.0403
Ac 18.1476 0.0000 6.8789
Si 9.9678 0.0000 0.0000
As 2.6181 0.0000 2.9783
As 15.1627 0.0000 5.9427
Br 1.5249 0.0000 7.4216
Br 8.8904 0.0000 4.4605
Br 16.2558 0.0000 1.4994



(6)
10
Lattice="3.3510 0.0000 0.0000 0.0000 3.3510 0.0000 0.0000 0.0000 19.1644" Properties=species:S:1:pos:R:3 comment="GGA-PBE Na2GaP2, relaxed" n_ef_per_ev_atom=0.3736 ef_ev_per_fu=0.04 pbc="T T T"
Na 0.0000 0.0000 2.2340
Na 0.0000 0.0000 16.9304
Na 1.6755 1.6755 7.3482
Na 1.6755 1.6755 11.8162
Ga 0.0000 0.0000 9.5822
Ga 1.6755 1.6755 0.0000
P 0.0000 1.6755 4.7911
P 0.0000 1.6755 14.3733
P 1.6755 0.0000 4.7911
P 1.6755 0.0000 14.3733



Calculated volume for every record listed, in sequence, given in Å³ per atom: 13.0 23.9 21.0 39.4 33.7 21.5.
Calculated total energy for every record listed, in sequence, given in eV/atom: -7.814 -1.987 -8.143 -2.838 -5.003 -3.289.